Density functional theory data (GGA-PBE) for a relaxed NdCdCuGe crystal.

abc: 4.912 4.912 4.912
angles: 60.00 60.00 60.00
Element x y z (fractional)
Ge1 0.250 0.250 0.250
Nd1 0.000 0.000 0.000
Cu1 0.750 0.750 0.750
Cd1 0.500 0.500 0.500

Values from the calculation:
**ΔE_f**: -0.26 eV/atom
**Density**: 7.782 g/cm3
**Total energy**: -0.142 Ha/atom
**N(E_F)**: 0.338 states/eV per atom
**Total magnetization**: 0.000 μB per atom